Computed, not measured: crystalline ZrZnIrRh at its relaxed geometry at the PBE-GGA level of DFT.

abc: 4.484 4.484 4.484
angles: 60.00 60.00 60.00
Element x y z (fractional)
Zn: 0.000 0.000 0.000
Ir: 0.250 0.250 0.250
Rh: 0.750 0.750 0.750
Zr: 0.500 0.500 0.500

Calculated values
- space group = No. 216
- E_form (kJ/mol of atoms) = -68
- calculated density (g cm⁻³) = 11.8